GaAgPb2 | PBE | optimized geometry

Lattice parameters (Å, degrees): 3.5046 3.5046 8.1930 90.00 90.00 90.00
Closest atoms and distances in Å follow each position.
Space group P4/mmm (No. 123)
Symmetry-distinct sites (fractional):
1 Ga 0.0000 0.0000 0.0000 (multiplicity 1)  8 Pb 3.29, 4 Ga 3.50
2 Ag 0.0000 0.0000 0.5000 (multiplicity 1)  8 Pb 3.14, 4 Ag 3.50
3 Pb 0.5000 0.5000 0.2637 (multiplicity 2)  4 Ag 3.14, 4 Ga 3.29, 4 Pb 3.50

## Properties
- Fermi-level density of states: 0.92 states/eV per cell
- Calculated total energy: -3.238 eV per atom
- Energy of formation: 0.085 eV per atom